Here is Rb2SrPuO4 after structural relaxation from the Alexandria database. Energies are from PBE.

Computed properties:
* V: 18.9 Å³ per atom
* total energy: -0.259 Ha/atom

Cell lengths 3.6458, 6.3432, 6.8985 Å; angles 108.27, 90.00, 90.00 degrees
Last column: nearest neighbours and their distance in Å.
Element x y z (fractional)
1 Rb 0.5000 0.0000 0.5000  6 O 2.88-2.90
2 Rb 0.0000 0.5000 0.5000  6 O 3.01-3.21
3 Sr 0.5000 0.5000 0.0000  6 O 2.53-2.56
4 Pu 0.0000 0.0000 0.0000  6 O 2.17-2.36
5 O 0.5000 0.2049 0.1813  2 Pu 2.36, 1 Sr 2.56
6 O 0.5000 0.7951 0.8187  2 Pu 2.36, 1 Sr 2.56
7 O 0.0000 0.2305 0.8238  1 Pu 2.17
8 O 0.0000 0.7695 0.1762  1 Pu 2.17